A relaxed structure of LiTlCl2, computed with PBE.

## Properties
- SG = No. 8
- Fermi-level density of states (states/eV per cell) = 0.000
- ΔE_f (raw) (eV/atom) = -1.347
- distance to the lowest polymorph of the same formula (meV/atom) = 48.9

Unit cell a=7.2955 b=7.2955 c=4.4415 alpha=93.34 beta=93.34 gamma=31.60
Sites, in units of the cell vectors:
Li 0.0000 0.0000 0.0000
Tl 0.2604 0.2604 0.2820
Cl 0.5704 0.5704 0.1705
Cl 0.8443 0.8443 0.8033